The following is a DFT calculation (GGA-PBE) of a relaxed structure of MgZnAs2.

- formation energy from the elements (eV per atom) = 0.076
- final energy (eV/f.u.) = -11.863

Cell: 2.8813 2.8813 9.5872 Å, 90.00 90.00 90.00°
With the nearest neighbours (Å) after each atom.
Sites, in units of the cell vectors:
Mg (0.0000, 0.0000, 0.0000)  4 As 2.88, 4 Mg 2.88, 4 Zn 2.95
Zn (0.5000, 0.5000, 0.2223)  4 As 2.83, 4 Zn 2.88, 4 Mg 2.95
As (0.0000, 0.0000, 0.4274)  4 Zn 2.83, 4 As 2.88
As (0.5000, 0.5000, 0.7883)  4 Mg 2.88, 4 As 2.88



The following is a DFT calculation (GGA-PBE) of a relaxed structure of SrCu2Tc.

- formation energy from the elements (eV per atom) = 0.846
- final energy (eV/f.u.) = -16.856

Cell: 4.7030 4.7030 4.7030 Å, 60.00 60.00 60.00°
With the nearest neighbours (Å) after each atom.
Sites, in units of the cell vectors:
Sr (0.0000, 0.0000, 0.0000)  4 Tc 2.88, 4 Cu 2.88
Cu (0.2500, 0.2500, 0.2500)  4 Cu 2.88, 4 Sr 2.88
Cu (0.5000, 0.5000, 0.5000)  4 Tc 2.88, 4 Cu 2.88
Tc (0.7500, 0.7500, 0.7500)  4 Cu 2.88, 4 Sr 2.88



The following is a DFT calculation (GGA-PBE) of a relaxed structure of Ho8Zn2Cu.

- formation energy from the elements (eV per atom) = -0.126
- final energy (eV/f.u.) = -44.647

Cell: 9.1302 9.1302 6.7260 Å, 105.14 105.14 32.19°
With the nearest neighbours (Å) after each atom.
Sites, in units of the cell vectors:
Ho (0.0270, 0.0270, 0.2794)  1 Zn 2.92, 2 Cu 3.04
Ho (0.2004, 0.2004, 0.8167)  1 Zn 2.84
Ho (0.3380, 0.3380, 0.5300)  3 Zn 2.87-3.10, 1 Cu 2.90
Ho (0.4089, 0.4089, 0.0494)  1 Cu 3.02, 2 Zn 3.32, 3 Ho 3.37
Ho (0.5911, 0.5911, 0.9506)  1 Cu 3.02, 2 Zn 3.32, 3 Ho 3.37
Ho (0.6620, 0.6620, 0.4700)  3 Zn 2.87-3.10, 1 Cu 2.90
Ho (0.7996, 0.7996, 0.1833)  1 Zn 2.84
Ho (0.9730, 0.9730, 0.7206)  1 Zn 2.92, 2 Cu 3.04
Zn (0.1870, 0.1870, 0.2280)  5 Ho 2.84-3.10
Zn (0.8130, 0.8130, 0.7720)  5 Ho 2.84-3.10
Cu (0.5000, 0.5000, 0.5000)  8 Ho 2.90-3.04



The following is a DFT calculation (GGA-PBE) of a relaxed structure of KMnRe.

- formation energy from the elements (eV per atom) = 0.993
- final energy (eV/f.u.) = -19.735

Cell: 8.3147 8.1284 2.8053 Å, 83.95 76.45 19.60°
With the nearest neighbours (Å) after each atom.
Sites, in units of the cell vectors:
K (0.0000, 0.0000, 0.0000)  6 K 2.81-3.10
Mn (0.6949, 0.6949, 0.3051)  2 Re 2.44
Re (0.3127, 0.3127, 0.6873)  2 Mn 2.44



The following is a DFT calculation (GGA-PBE) of a relaxed structure of VCrPbAuBr.

- final energy (eV/f.u.) = -26.501
- formation energy (no corrections) (meV per atom) = 180

Cell: 7.9675 7.9675 4.6830 Å, 97.27 97.27 23.52°
With the nearest neighbours (Å) after each atom.
Sites, in units of the cell vectors:
V (0.0000, 0.0000, 0.0000)  1 Cr 2.41, 2 Br 2.56
Cr (0.1323, 0.1323, 0.7856)  1 V 2.41, 2 Au 2.70
Pb (0.6871, 0.6871, 0.2848)  4 Cr 2.88-3.06, 1 Au 2.97
Au (0.5147, 0.5147, 0.4898)  2 Cr 2.70, 4 V 2.80-2.92, 1 Pb 2.97
Br (0.3736, 0.3736, 0.8850)  2 V 2.56



The following is a DFT calculation (GGA-PBE) of a relaxed structure of Ce2Dy6ErTm3.

- formation energy from the elements (eV per atom) = 0.049
- final energy (eV/f.u.) = -56.871

Cell: 6.0953 6.0953 11.6698 Å, 95.00 95.00 119.99°
With the nearest neighbours (Å) after each atom.
Sites, in units of the cell vectors:
Ce (0.1665, 0.8335, 0.0000)  3 Ce 3.52, 6 Dy 3.52, 3 Er 3.52
Ce (0.8335, 0.1665, 0.0000)  3 Ce 3.52, 6 Dy 3.52, 3 Er 3.52
Dy (0.0811, 0.4161, 0.7498)  6 Dy 3.51-3.54, 3 Tm 3.51-3.52, 2 Ce 3.52, 1 Er 3.53
Dy (0.2490, 0.2490, 0.2504)  6 Dy 3.51-3.54, 3 Tm 3.51, 2 Ce 3.52, 1 Er 3.53
Dy (0.4161, 0.0811, 0.7498)  6 Dy 3.51-3.54, 3 Tm 3.51-3.52, 2 Ce 3.52, 1 Er 3.53
Dy (0.5839, 0.9189, 0.2502)  6 Dy 3.51-3.54, 3 Tm 3.51-3.52, 2 Ce 3.52, 1 Er 3.53
Dy (0.7510, 0.7510, 0.7496)  6 Dy 3.51-3.54, 3 Tm 3.51, 2 Ce 3.52, 1 Er 3.53
Dy (0.9189, 0.5839, 0.2502)  6 Dy 3.51-3.54, 3 Tm 3.51-3.52, 2 Ce 3.52, 1 Er 3.53
Er (0.5000, 0.5000, 0.0000)  6 Ce 3.52, 6 Dy 3.53
Tm (0.0000, 0.0000, 0.5000)  6 Dy 3.51-3.52, 6 Tm 3.52
Tm (0.3339, 0.6661, 0.5000)  6 Tm 3.51-3.53, 6 Dy 3.51-3.52
Tm (0.6661, 0.3339, 0.5000)  6 Tm 3.51-3.53, 6 Dy 3.51-3.52



The following is a DFT calculation (GGA-PBE) of a relaxed structure of GdCdHg2.

- formation energy from the elements (eV per atom) = -0.317
- final energy (eV/f.u.) = -16.867

Cell: 4.7962 4.7962 4.3245 Å, 90.00 90.00 90.00°
With the nearest neighbours (Å) after each atom.
Sites, in units of the cell vectors:
Gd (0.0000, 0.0000, 0.0000)  8 Hg 3.23, 4 Cd 3.39
Cd (0.5000, 0.5000, 0.0000)  8 Hg 3.23, 4 Gd 3.39
Hg (0.0000, 0.5000, 0.5000)  4 Cd 3.23, 4 Gd 3.23, 4 Hg 3.39
Hg (0.5000, 0.0000, 0.5000)  4 Cd 3.23, 4 Gd 3.23, 4 Hg 3.39



The following is a DFT calculation (GGA-PBE) of a relaxed structure of Tm2InAu3.

- formation energy from the elements (eV per atom) = -0.770
- final energy (eV/f.u.) = -26.135

Cell: 4.9492 4.9492 12.2360 Å, 90.00 90.00 120.00°
With the nearest neighbours (Å) after each atom.
Sites, in units of the cell vectors:
Tm (0.0000, 0.0000, 0.0000)  8 Au 2.96-2.97
Tm (0.0000, 0.0000, 0.5000)  8 Au 3.00-3.15
Tm (0.3333, 0.6667, 0.1820)  8 Au 2.95-3.20
Tm (0.6667, 0.3333, 0.8180)  8 Au 2.95-3.20
In (0.3333, 0.6667, 0.6673)  8 Au 2.96-3.29
In (0.6667, 0.3333, 0.3327)  8 Au 2.96-3.29
Au (0.0000, 0.0000, 0.2424)  5 Tm 2.95-3.15, 3 In 3.06
Au (0.0000, 0.0000, 0.7576)  5 Tm 2.95-3.15, 3 In 3.06
Au (0.3333, 0.6667, 0.4253)  4 In 2.96-3.07, 4 Tm 2.98-3.00
Au (0.3333, 0.6667, 0.9366)  7 Tm 2.96-3.20, 3 Au 3.25, 1 In 3.29
Au (0.6667, 0.3333, 0.0634)  7 Tm 2.96-3.20, 3 Au 3.25, 1 In 3.29
Au (0.6667, 0.3333, 0.5747)  4 In 2.96-3.07, 4 Tm 2.98-3.00



no.,magnetic moment (μB/f.u.)
1,0.00
2,2.42
3,0.00
4,2.79
5,0.73
6,1.87
7,7.66
8,0.00